(1)
# Ge4Se (PBE, optimized geometry)
# - N(E_F): 3.46 states/eV/f.u.
# - Energy: -3.61 eV/atom
# - Formation energy from raw total energies: 0.7815 eV per atom
data_Ge4Se
_symmetry_space_group_name_H-M 'P m -3 m'
_symmetry_Int_Tables_number 221
_symmetry_space_group_name_Hall '-P 4 2 3'
_cell_length_a 5.1358
_cell_length_b 5.1358
_cell_length_c 5.1358
_cell_angle_alpha 90.00
_cell_angle_beta 90.00
_cell_angle_gamma 90.00
loop_
_atom_site_label
_atom_site_type_symbol
_atom_site_fract_x
_atom_site_fract_y
_atom_site_fract_z
Ge1 Ge 0.0000 0.0000 0.0000
Ge2 Ge 0.0000 0.5000 0.5000
Se1 Se 0.5000 0.5000 0.5000


(2)
# GeSe2 (PBE, optimized geometry)
# - N(E_F): 0.00 states/eV/f.u.
# - Energy: -4.12 eV/atom
# - Formation energy from raw total energies: -0.2583 eV per atom
data_GeSe2
_symmetry_space_group_name_H-M 'I -4 2 d'
_symmetry_Int_Tables_number 122
_symmetry_space_group_name_Hall 'I -4 2bw'
_cell_length_a 6.0644
_cell_length_b 6.0644
_cell_length_c 9.6159
_cell_angle_alpha 90.00
_cell_angle_beta 90.00
_cell_angle_gamma 90.00
loop_
_atom_site_label
_atom_site_type_symbol
_atom_site_fract_x
_atom_site_fract_y
_atom_site_fract_z
Ge1 Ge 0.0000 0.0000 0.0000
Se1 Se 0.2347 0.7500 0.1250


(3)
# GeSe (PBE, optimized geometry)
# - Energy: -4.05 eV/atom
# - Formation energy from raw total energies: 0.0018 eV per atom
data_GeSe
_symmetry_space_group_name_H-M 'P m -3 n'
_symmetry_Int_Tables_number 223
_symmetry_space_group_name_Hall '-P 4n 2 3'
_cell_length_a 7.6913
_cell_length_b 7.6913
_cell_length_c 7.6913
_cell_angle_alpha 90.00
_cell_angle_beta 90.00
_cell_angle_gamma 90.00
loop_
_atom_site_label
_atom_site_type_symbol
_atom_site_fract_x
_atom_site_fract_y
_atom_site_fract_z
Ge1 Ge 0.0000 0.2500 0.5000
Se1 Se 0.0000 0.5000 0.2500


(4)
# GeSe (PBE, optimized geometry)
# - Energy: -4.23 eV/atom
# - Formation energy from raw total energies: -0.1809 eV per atom
data_GeSe
_symmetry_space_group_name_H-M 'I 4/m'
_symmetry_Int_Tables_number 87
_symmetry_space_group_name_Hall '-I 4'
_cell_length_a 8.7633
_cell_length_b 8.7633
_cell_length_c 5.7642
_cell_angle_alpha 90.00
_cell_angle_beta 90.00
_cell_angle_gamma 90.00
loop_
_atom_site_label
_atom_site_type_symbol
_atom_site_fract_x
_atom_site_fract_y
_atom_site_fract_z
Ge1 Ge 0.0686 0.3120 0.0000
Se1 Se 0.0713 0.2980 0.5000